Here is an optimized crystal structure of CsFeIN2 from the Alexandria database. Energies are from PBE.

## Properties
volume = 29.204 A^3/atom
raw formation energy = 2454 meV/atom
SG = No. 123

Cell and atoms, written as POSCAR:
```
CsFeIN2
1.0
4.4675 0.0000 0.0000
0.0000 4.4675 0.0000
0.0000 0.0000 7.3163
Cs Fe I N
1 1 1 2
Direct
0.0000 0.0000 0.0000
0.5000 0.5000 0.5000
0.0000 0.0000 0.5000
0.0000 0.5000 0.0000
0.5000 0.0000 0.0000
```